# 1
Material: Ti5GeB2
Method: DFT, PBE
State: optimized geometry

Properties
E_form (eV/atom): -0.59

Unit cell a=6.1355 b=6.1355 c=7.2738 alpha=114.94 beta=114.94 gamma=90.00
Last column: nearest neighbours and their distance in Å.
Sites, in units of the cell vectors:
Ti: 0.5423 0.6944 0.7367  3 B 2.35-2.43
Ti: 0.8056 0.9577 0.2633  3 B 2.35-2.43
Ti: 0.0000 0.0000 0.0000  4 B 2.49, 8 Ti 2.74
Ti: 0.5000 0.5000 0.0000  4 B 2.49, 8 Ti 2.74
Ti: 0.1944 0.0423 0.7367  3 B 2.35-2.43
Ti: 0.6944 0.1944 0.7367  3 B 2.35-2.43
Ti: 0.0423 0.5423 0.7367  3 B 2.35-2.43
Ti: 0.3056 0.8056 0.2633  3 B 2.35-2.43
Ti: 0.9577 0.4577 0.2633  3 B 2.35-2.43
Ti: 0.4577 0.3056 0.2633  3 B 2.35-2.43
Ge: 0.7500 0.7500 0.5000  10 Ti 2.66-2.92
Ge: 0.2500 0.2500 0.5000  10 Ti 2.66-2.92
B: 0.1088 0.3912 0.0000  1 B 1.89
B: 0.6088 0.1088 0.0000  1 B 1.89
B: 0.3912 0.8912 0.0000  1 B 1.89
B: 0.8912 0.6088 0.0000  1 B 1.89

***

# 2
Material: Ti2MnN
Method: DFT, PBE
State: optimized geometry

Properties
E_form (uncorrected) (meV per atom): -270

Unit cell a=5.8689 b=5.8689 c=5.3530 alpha=56.76 beta=56.76 gamma=90.00
Last column: nearest neighbours and their distance in Å.
Sites, in units of the cell vectors:
N: 0.5000 0.5000 0.0000  4 Ti 1.96
N: 0.2500 0.7500 0.5000  4 Ti 1.96
Mn: 0.0000 0.0000 0.0000  4 Ti 2.58
Mn: 0.7500 0.2500 0.5000  4 Ti 2.58
Ti: 0.5431 0.1250 0.2500  2 N 1.96
Ti: 0.2069 0.6250 0.2500  2 N 1.96
Ti: 0.3750 0.4569 0.7500  2 N 1.96
Ti: 0.8750 0.7931 0.7500  2 N 1.96

***

# 3
Material: PuCd3Hg3
Method: DFT, PBE
State: optimized geometry

Properties
E_form (eV/atom): 0.40
Polymorph energy (0 for the lowest one) (eV/f.u.): 3.00

Unit cell a=7.8483 b=7.8483 c=7.8483 alpha=90.00 beta=90.00 gamma=90.00
Last column: nearest neighbours and their distance in Å.
Sites, in units of the cell vectors:
Cd: 0.2500 0.0000 0.5000  4 Hg 2.77
Cd: 0.0000 0.5000 0.2500  4 Hg 2.77
Cd: 0.5000 0.7500 0.0000  4 Hg 2.77
Cd: 0.7500 0.0000 0.5000  4 Hg 2.77
Cd: 0.0000 0.5000 0.7500  4 Hg 2.77
Cd: 0.5000 0.2500 0.0000  4 Hg 2.77
Hg: 0.0000 0.2500 0.5000  4 Cd 2.77
Hg: 0.0000 0.7500 0.5000  4 Cd 2.77
Hg: 0.5000 0.0000 0.7500  4 Cd 2.77
Hg: 0.7500 0.5000 0.0000  4 Cd 2.77
Hg: 0.5000 0.0000 0.2500  4 Cd 2.77
Hg: 0.2500 0.5000 0.0000  4 Cd 2.77
Pu: 0.5000 0.5000 0.5000  12 Hg 4.39, 12 Cd 4.39
Pu: 0.0000 0.0000 0.0000  12 Hg 4.39, 12 Cd 4.39

***

# 4
Material: KBa5Tl6
Method: DFT, PBE
State: optimized geometry

Properties
E_form (eV/atom): -0.34

Unit cell a=6.0578 b=8.5803 c=9.5793 alpha=90.00 beta=71.57 gamma=90.00
Last column: nearest neighbours and their distance in Å.
Sites, in units of the cell vectors:
K: 0.0000 0.0000 0.0000  8 Tl 3.71-3.77
Ba: 0.6683 0.5000 0.6633  8 Tl 3.68-3.71
Ba: 0.3376 0.0000 0.3248  8 Tl 3.70-3.77
Ba: 0.0000 0.5000 0.0000  8 Tl 3.66-3.72
Ba: 0.6624 0.0000 0.6752  8 Tl 3.70-3.77
Ba: 0.3317 0.5000 0.3367  8 Tl 3.68-3.71
Tl: 0.8330 0.7504 0.3339  7 Ba 3.68-3.77, 1 K 3.71
Tl: 0.8331 0.2496 0.3339  7 Ba 3.68-3.77, 1 K 3.71
Tl: 0.5000 0.2609 0.0000  6 Ba 3.66-3.70, 2 K 3.77
Tl: 0.5000 0.7391 0.0000  6 Ba 3.66-3.70, 2 K 3.77
Tl: 0.1669 0.7504 0.6661  7 Ba 3.68-3.77, 1 K 3.71
Tl: 0.1670 0.2496 0.6661  7 Ba 3.68-3.77, 1 K 3.71

***

Number 1: volume 13.7 Å³/atom. Number 2: volume 14.6 Å³/atom. Number 3: volume 34.5 Å³/atom. Number 4: volume 39.4 Å³/atom.